This record from the Alexandria database describes a geometry-optimized NdLu2Ti structure. The functional is PBE-GGA.

Structure (POSCAR):
```
NdLu2Ti
1.0
3.337 0.000 0.000
1.668 2.890 0.000
1.668 0.963 11.687
Nd Lu Ti
1 2 1
direct
0.500 0.500 0.500
0.083 0.083 0.752
0.917 0.917 0.248
0.000 0.000 0.000
```

Calculated values
- magnetization (μB per formula unit) = 1.9
- final energy (eV per atom) = -5.002
- SG = No. 166
- energy above the most stable polymorph in this dataset (meV per atom) = 288